FeSbOs2 GGA-PBE relaxed; DOS(E_F) = 1.0760 states/eV/atom; space group = No. 25; size of the total moment = 2.21 μB per formula unit; total DFT energy (no corrections) = -33.1 eV for the cell shown; volume = 62 Å³/cell
1.0
2.8940 0.0000 0.0000
0.0000 3.8757 0.0000
0.0000 0.0000 5.5081
Fe Sb Os
1 1 2
direct
0.0000 0.0000 0.0000 Fe
0.5000 0.5000 0.7435 Sb
0.0000 0.0000 0.4538 Os
0.5000 0.5000 0.2373 Os